A plane-wave DFT calculation with PBE was carried out for a relaxed structure of HfCoReHg2.

```
HfCoReHg2
1.0
4.764 0.000 0.000
0.000 4.764 0.000
0.000 0.000 4.477
Hf Co Re Hg
1 1 1 2
Cartesian
0.000 0.000 0.000 Hf
2.382 2.382 2.239 Co
2.382 2.382 0.000 Re
0.000 2.382 2.239 Hg
2.382 0.000 2.239 Hg
```

Total DFT energy (no corrections) ... -25.02 eV per cell
ΔH_f (0 K) ... 1.02 eV/atom